Density functional theory data (meta-GGA SCAN) for a crystal of CaMnCr relaxed with PBEsol.

* DOS at the Fermi energy: 1.071 states/eV per atom
* total DFT energy (no corrections): -45.30 eV per formula unit
* spin magnetization: 0.142 μB/atom

Cell: 4.4691 4.4691 3.3739 Å, 90.00 90.00 120.00°
Space group P-6m2 (No. 187)
Unique sites:
Ca 0.0000 0.0000 0.0000 [1 per cell]
Mn 0.6667 0.3333 0.5000 [1 per cell]
Cr 0.3333 0.6667 0.5000 [1 per cell]